(1)
Mg3ZrZn4 | Alexandria via LeMat-Bulk | GGA-PBE | optimized geometry; space-group type = P4/mmm (123); energy relative to the elements = -0.16 eV/atom
1.0
4.5453 0.0000 0.0000
0.0000 6.9117 0.0000
0.0000 0.0000 9.0927
Mg Zn Zr
6 8 2
Direct
0.0000 0.0000 0.0000
0.0000 0.0000 0.5000
0.4995 0.0000 0.7500
0.5005 0.0000 0.2500
0.4997 0.5000 0.7500
0.5003 0.5000 0.2500
0.5000 0.7540 0.0000
0.5000 0.7540 0.5000
0.5000 0.2460 0.0000
0.5000 0.2460 0.5000
0.9996 0.7539 0.7500
0.0004 0.7539 0.2500
0.0004 0.2461 0.2500
0.9996 0.2461 0.7500
0.0000 0.5000 0.0000
0.0000 0.5000 0.5000

***

(2)
CrTeOs2 | Alexandria via LeMat-Bulk | GGA-PBE | optimized geometry; space-group type = Cmmm (65); formation energy (no corrections) = 0.69 eV per atom
1.0
-4.1264 -1.8955 -0.2968
2.2686 -2.9829 -2.5816
0.6035 -1.7054 2.5009
Cr Os Te
1 2 1
Direct
0.0000 0.5000 0.5000
0.0000 0.0000 0.0000
0.5000 0.5000 0.0000
0.5000 0.0000 0.5000

***

(3)
Cs5Rb2CdHg2 | Alexandria via LeMat-Bulk | GGA-PBE | optimized geometry; space-group type = P4/mbm (127); energy relative to the elements = -0.10 eV/atom
1.0
-2.3644 -3.4564 3.0124
14.0873 -3.0601 7.5457
-3.2689 11.6847 10.8414
Cs Rb Cd Hg
10 4 2 4
Direct
0.5000 0.1976 0.0596
0.5000 0.8024 0.9404
0.5000 0.0596 0.8024
0.5000 0.6976 0.4404
0.5000 0.9404 0.1976
0.5000 0.3024 0.5596
0.5000 0.5596 0.6976
0.5000 0.4404 0.3024
0.5000 0.5000 0.0000
0.5000 0.0000 0.5000
0.0000 0.6820 0.1820
0.0000 0.3180 0.8180
0.0000 0.1820 0.3180
0.0000 0.8180 0.6820
0.0000 0.0000 0.0000
0.0000 0.5000 0.5000
0.0000 0.1330 0.6330
0.0000 0.8670 0.3670
0.0000 0.6330 0.8670
0.0000 0.3670 0.1330

***

(4)
RbLi2Ti3S8 | Alexandria via LeMat-Bulk | GGA-PBE | optimized geometry; space-group type = R3m (160); formation energy (no corrections) = -1.18 eV per atom
1.0
-3.3777 2.3350 5.6485
-6.9687 -0.3435 0.2916
-2.9218 -7.0525 5.4850
Rb Li Ti S
1 2 3 8
Direct
0.8627 0.8627 0.4118
0.0150 0.0150 0.9549
0.4499 0.4499 0.6504
0.5140 0.0164 0.9556
0.0164 0.5140 0.9556
0.5140 0.5140 0.9556
0.2928 0.2928 0.1217
0.7367 0.7367 0.7898
0.2394 0.2394 0.7889
0.7323 0.2394 0.7889
0.2394 0.7323 0.7889
0.7830 0.3140 0.1199
0.3140 0.7830 0.1199
0.7830 0.7830 0.1199

***

(5)
MgTaMn4 | Alexandria via LeMat-Bulk | GGA-PBE | optimized geometry; space-group type = F-43m (216); energy relative to the elements = -0.02 eV/atom
1.0
4.8042 0.0000 0.0000
2.4021 4.1606 0.0000
2.4021 1.3869 3.9226
Mg Mn Ta
1 4 1
Direct
0.0000 0.0000 0.0000
0.3746 0.3746 0.3746
0.3746 0.8762 0.3746
0.3746 0.3746 0.8762
0.8762 0.3746 0.3746
0.7500 0.7500 0.7500

***

| no. | uncorrected energy (eV per atom) |
| --- | --- |
| 1 | -2.466 |
| 2 | -8.119 |
| 3 | -0.867 |
| 4 | -5.576 |
| 5 | -8.378 |